Entry 1:
# Np2Ru6C | Alexandria | PBE-GGA | optimized geometry
# Energy relative to the elements in eV per atom: -0.04
data_Np2Ru6C
_cell_length_a 5.734
_cell_length_b 5.734
_cell_length_c 5.734
_cell_angle_alpha 60.00
_cell_angle_beta 60.00
_cell_angle_gamma 60.00
_space_group_name_H-M_alt 'P 1'
_space_group_IT_number 1
_space_group_name_Hall 'P 1'
loop_
_atom_site_label
_atom_site_type_symbol
_atom_site_fract_x
_atom_site_fract_y
_atom_site_fract_z
Np1 Np 0.250 0.250 0.250
Np2 Np 0.750 0.750 0.750
Ru1 Ru 0.246 0.246 0.754
Ru2 Ru 0.246 0.754 0.246
Ru3 Ru 0.246 0.754 0.754
Ru4 Ru 0.754 0.246 0.246
Ru5 Ru 0.754 0.246 0.754
Ru6 Ru 0.754 0.754 0.246
C1 C 0.500 0.500 0.500



Entry 2:
# Np2Ru2C3 | Alexandria | PBE-GGA | optimized geometry
# Energy relative to the elements in eV per atom: 0.06
data_Np2Ru2C3
_cell_length_a 5.994
_cell_length_b 5.994
_cell_length_c 5.487
_cell_angle_alpha 112.12
_cell_angle_beta 112.12
_cell_angle_gamma 32.37
_space_group_name_H-M_alt 'P 1'
_space_group_IT_number 1
_space_group_name_Hall 'P 1'
loop_
_atom_site_label
_atom_site_type_symbol
_atom_site_fract_x
_atom_site_fract_y
_atom_site_fract_z
Np1 Np 0.102 0.102 0.309
Np2 Np 0.898 0.898 0.691
Ru1 Ru 0.340 0.340 0.169
Ru2 Ru 0.660 0.660 0.831
C1 C 0.248 0.248 0.756
C2 C 0.500 0.500 0.500
C3 C 0.752 0.752 0.244



Entry 3:
# NpRuC2 | Alexandria | PBE-GGA | optimized geometry
# Energy relative to the lowest polymorph listed for this composition in kJ per mole of atoms: 7.59
# Energy relative to the elements in eV per atom: 0.21
data_NpRuC2
_cell_length_a 5.230
_cell_length_b 5.230
_cell_length_c 5.230
_cell_angle_alpha 37.54
_cell_angle_beta 37.54
_cell_angle_gamma 37.54
_space_group_name_H-M_alt 'P 1'
_space_group_IT_number 1
_space_group_name_Hall 'P 1'
loop_
_atom_site_label
_atom_site_type_symbol
_atom_site_fract_x
_atom_site_fract_y
_atom_site_fract_z
Np1 Np 0.000 0.000 0.000
Ru1 Ru 0.500 0.500 0.500
C1 C 0.239 0.239 0.239
C2 C 0.761 0.761 0.761



Entry 4:
# NpRuC2 | Alexandria | PBE-GGA | optimized geometry
# Energy relative to the lowest polymorph listed for this composition in kJ per mole of atoms: 0.00
# Energy relative to the elements in eV per atom: 0.13
data_NpRuC2
_cell_length_a 3.391
_cell_length_b 4.011
_cell_length_c 4.011
_cell_angle_alpha 73.33
_cell_angle_beta 90.00
_cell_angle_gamma 90.00
_space_group_name_H-M_alt 'P 1'
_space_group_IT_number 1
_space_group_name_Hall 'P 1'
loop_
_atom_site_label
_atom_site_type_symbol
_atom_site_fract_x
_atom_site_fract_y
_atom_site_fract_z
Np1 Np 0.000 0.000 0.000
Ru1 Ru 0.500 0.382 0.382
C1 C 0.500 0.550 0.841
C2 C 0.500 0.841 0.550



energy relative to the elements of number 1 (Np2Ru6C)? -0.04 eV per atom



Repeat the fourth record exactly.
# NpRuC2 | Alexandria | PBE-GGA | optimized geometry
# Energy relative to the lowest polymorph listed for this composition in kJ per mole of atoms: 0.00
# Energy relative to the elements in eV per atom: 0.13
data_NpRuC2
_cell_length_a 3.391
_cell_length_b 4.011
_cell_length_c 4.011
_cell_angle_alpha 73.33
_cell_angle_beta 90.00
_cell_angle_gamma 90.00
_space_group_name_H-M_alt 'P 1'
_space_group_IT_number 1
_space_group_name_Hall 'P 1'
loop_
_atom_site_label
_atom_site_type_symbol
_atom_site_fract_x
_atom_site_fract_y
_atom_site_fract_z
Np1 Np 0.000 0.000 0.000
Ru1 Ru 0.500 0.382 0.382
C1 C 0.500 0.550 0.841
C2 C 0.500 0.841 0.550